No. 1
Be2FeAg PBE relaxed; calculated formation energy = 168 meV per atom; V = 42.6 Å³ per cell; energy relative to the lowest polymorph listed for this composition = 0.167 eV per atom
1.0
0.000 2.772 2.772
2.772 0.000 2.772
2.772 2.772 0.000
Fe Be Ag
1 2 1
Cartesian
0.000 0.000 0.000 Fe
4.159 4.159 4.159 Be
1.386 1.386 1.386 Be
2.772 2.772 2.772 Ag


No. 2
CsBi2AsW PBE relaxed; calculated formation energy = 2713 meV per atom; V = 210.1 Å³ per cell
1.0
6.167 0.000 0.000
0.000 5.526 0.000
0.000 0.000 6.167
As Bi Cs W
1 2 1 1
Cartesian
3.083 2.763 3.083 As
0.000 0.000 3.083 Bi
3.083 0.000 0.000 Bi
0.000 0.000 0.000 Cs
0.000 2.763 0.000 W


No. 3
Ti4Ge4Rh PBE relaxed; calculated formation energy = -259 meV per atom; V = 159.8 Å³ per cell
1.0
5.104 0.000 0.000
2.552 5.595 0.000
2.552 0.000 5.595
Ge Rh Ti
4 1 4
Cartesian
5.104 2.163 1.160 Ge
5.104 3.432 4.434 Ge
2.552 1.160 3.432 Ge
7.656 4.434 2.163 Ge
0.000 0.000 0.000 Rh
5.104 1.053 3.471 Ti
2.552 2.124 1.053 Ti
5.104 4.542 2.124 Ti
7.656 3.471 4.542 Ti


No. 4
CaSnGeO5 PBE relaxed; uncorrected formation energy = -2.086 eV/atom; V = 214.0 Å³ per cell
1.0
-2.643 5.069 0.619
-4.037 -3.727 -1.695
1.540 -2.060 6.903
O Ca Ge Sn
10 2 2 2
Cartesian
-3.196 -1.484 5.501 O
-3.545 -2.994 2.934 O
-1.633 -3.842 5.006 O
-3.808 0.539 2.311 O
-1.596 2.276 2.893 O
-1.945 0.766 0.326 O
-3.508 3.124 0.821 O
-1.608 2.769 5.598 O
-1.333 -1.257 3.516 O
-3.533 -3.487 0.230 O
-1.951 0.604 5.028 Ca
-3.190 -1.322 0.799 Ca
-2.437 -2.460 4.222 Ge
-2.704 1.742 1.605 Ge
0.000 0.000 0.000 Sn
0.770 -1.030 3.451 Sn